Entry 1:
La2ScCu: optimized geometry, PBE.

Cell: 5.685 5.685 5.685 Å, 129.62 129.62 74.01°
Sites, in units of the cell vectors:
1 Cu 0.750 0.250 0.500
2 La 0.000 0.000 0.000
3 La 0.500 0.500 0.000
4 Sc 0.250 0.750 0.500

Properties
The value obtained for the offset from the most stable computed form is 190 meV per atom. The value obtained for the total energy is -4.939 eV per atom.

***

Entry 2:
La2ScCu: optimized geometry, PBE.

Cell: 6.670 6.670 6.670 Å, 149.03 134.83 55.78°
Sites, in units of the cell vectors:
1 Cu 0.250 0.750 0.500
2 La 0.047 0.047 0.000
3 La 0.453 0.453 0.000
4 Sc 0.750 0.250 0.500

Properties
The value obtained for the offset from the most stable computed form is 137 meV per atom. The value obtained for the total energy is -4.992 eV per atom.

***

Entry 3:
La2ScCu: optimized geometry, PBE.

Cell: 8.577 8.577 6.815 Å, 51.01 51.01 90.00°
Sites, in units of the cell vectors:
1 Sc 0.500 0.500 0.000
2 Sc 0.250 0.750 0.500
3 Cu 0.000 0.000 0.000
4 Cu 0.750 0.250 0.500
5 La 0.678 0.125 0.250
6 La 0.072 0.625 0.250
7 La 0.375 0.322 0.750
8 La 0.875 0.928 0.750

Properties
The value obtained for the offset from the most stable computed form is 233 meV per atom. The value obtained for the total energy is -4.896 eV per atom.

***

Entry 4:
LaScCu3: optimized geometry, PBE.

Cell: 3.662 4.289 12.670 Å, 90.00 98.31 90.00°
Sites, in units of the cell vectors:
1 La 0.923 0.750 0.846
2 La 0.077 0.250 0.154
3 Sc 0.210 0.750 0.419
4 Sc 0.790 0.250 0.581
5 Cu 0.628 0.750 0.256
6 Cu 0.372 0.250 0.744
7 Cu 0.526 0.750 0.053
8 Cu 0.474 0.250 0.947
9 Cu 0.682 0.250 0.364
10 Cu 0.318 0.750 0.636

Properties
The value obtained for the offset from the most stable computed form is 0 meV per atom. The value obtained for the total energy is -4.911 eV per atom.

***

Entry 5:
LaSc2Cu6: optimized geometry, PBE.

Cell: 3.307 7.398 7.398 Å, 120.00 90.00 90.00°
Sites, in units of the cell vectors:
1 La 0.000 0.000 0.000
2 Sc 0.000 0.333 0.667
3 Sc 0.000 0.667 0.333
4 Cu 0.500 0.340 0.340
5 Cu 0.500 0.660 0.660
6 Cu 0.500 0.000 0.660
7 Cu 0.500 0.660 0.000
8 Cu 0.500 0.340 0.000
9 Cu 0.500 0.000 0.340

Properties
The value obtained for the total energy is -4.842 eV per atom.

***

Entry 6:
La2Sc2Cu: optimized geometry, PBE.

Cell: 7.125 7.125 5.408 Å, 90.00 90.00 90.00°
Sites, in units of the cell vectors:
1 Sc 0.347 0.847 0.000
2 Sc 0.847 0.653 0.000
3 Sc 0.653 0.153 0.000
4 Sc 0.153 0.347 0.000
5 Cu 0.000 0.000 0.000
6 Cu 0.500 0.500 0.000
7 La 0.165 0.665 0.500
8 La 0.665 0.835 0.500
9 La 0.835 0.335 0.500
10 La 0.335 0.165 0.500

Properties
The value obtained for the offset from the most stable computed form is 0 meV per atom. The value obtained for the total energy is -5.242 eV per atom.